Entry 1:
DFT (PBE) results for LuCuReTc after structural relaxation. Values from VASP.

```
&SYSTEM
  ibrav = 0, nat = 4, ntyp = 4
/
ATOMIC_SPECIES
Lu 174.97 Lu.upf
Re 186.21 Re.upf
Tc 98.00 Tc.upf
Cu 63.55 Cu.upf
ATOMIC_POSITIONS crystal
Lu 0.500 0.500 0.500
Re 0.250 0.250 0.250
Tc 0.000 0.000 0.000
Cu 0.750 0.750 0.750
CELL_PARAMETERS angstrom
0.000 3.175 3.175
3.175 0.000 3.175
3.175 3.175 0.000
```

Values from the calculation:
Relative energy among the computed polymorphs = 10 meV per atom
Energy = -7.66 eV/atom
Formation enthalpy at 0 K = 0.1006 eV per atom
Space group = No. 216

Entry 2:
DFT (PBE) results for SnOs2Pt after structural relaxation. Values from VASP.

```
&SYSTEM
  ibrav = 0, nat = 4, ntyp = 3
/
ATOMIC_SPECIES
Os 190.23 Os.upf
Pt 195.08 Pt.upf
Sn 118.71 Sn.upf
ATOMIC_POSITIONS crystal
Os 0.750 0.750 0.750
Os 0.000 0.000 0.000
Pt 0.250 0.250 0.250
Sn 0.500 0.500 0.500
CELL_PARAMETERS angstrom
0.000 3.199 3.199
3.199 0.000 3.199
3.199 3.199 0.000
```

Values from the calculation:
Energy = -7.52 eV/atom
Space group = No. 216

Entry 3:
DFT (PBE) results for Y2Sb3Mo4N3 after structural relaxation. Values from VASP.

```
&SYSTEM
  ibrav = 0, nat = 24, ntyp = 4
/
ATOMIC_SPECIES
N 14.01 N.upf
Y 88.91 Y.upf
Mo 95.94 Mo.upf
Sb 121.76 Sb.upf
ATOMIC_POSITIONS crystal
N 0.162 0.668 0.499
N 0.500 0.000 0.500
N 0.668 0.162 0.999
N 0.000 0.500 0.000
N 0.332 0.838 0.001
N 0.838 0.332 0.501
Y 0.640 0.470 0.899
Y 0.360 0.530 0.101
Y 0.470 0.640 0.399
Y 0.530 0.360 0.601
Mo 0.975 0.827 0.926
Mo 0.142 0.303 0.429
Mo 0.303 0.142 0.929
Mo 0.858 0.697 0.571
Mo 0.173 0.025 0.574
Mo 0.827 0.975 0.426
Mo 0.697 0.858 0.071
Mo 0.025 0.173 0.074
Sb 0.037 0.963 0.250
Sb 0.812 0.572 0.244
Sb 0.963 0.037 0.750
Sb 0.188 0.428 0.756
Sb 0.428 0.188 0.256
Sb 0.572 0.812 0.744
CELL_PARAMETERS angstrom
5.051 -2.970 0.000
5.051 2.970 0.000
-2.863 0.000 13.222
```

Values from the calculation:
Energy = -8.20 eV/atom
Space group = No. 15

Entry 4:
DFT (PBE) results for Pr2Tm3LuTe2Os after structural relaxation. Values from VASP.

```
&SYSTEM
  ibrav = 0, nat = 9, ntyp = 5
/
ATOMIC_SPECIES
Pr 140.91 Pr.upf
Os 190.23 Os.upf
Te 127.60 Te.upf
Tm 168.93 Tm.upf
Lu 174.97 Lu.upf
ATOMIC_POSITIONS crystal
Pr 0.000 0.000 0.597
Pr 0.000 0.597 0.000
Os 0.000 0.030 0.030
Te 0.500 0.336 0.655
Te 0.500 0.655 0.336
Tm 0.500 0.235 0.994
Tm 0.500 0.994 0.235
Tm 0.500 0.776 0.776
Lu 0.000 0.378 0.378
CELL_PARAMETERS angstrom
-3.455 0.368 2.170
4.464 2.126 6.746
-2.711 5.866 -5.311
```

Values from the calculation:
Energy = -5.75 eV/atom
Space group = No. 38

Entry 5:
DFT (PBE) results for UNbW after structural relaxation. Values from VASP.

```
&SYSTEM
  ibrav = 0, nat = 3, ntyp = 3
/
ATOMIC_SPECIES
Nb 92.91 Nb.upf
U 238.03 U.upf
W 183.84 W.upf
ATOMIC_POSITIONS crystal
Nb 0.250 0.250 0.250
U 0.000 0.000 0.000
W 0.750 0.750 0.750
CELL_PARAMETERS angstrom
0.000 3.147 3.147
3.147 0.000 3.147
3.147 3.147 0.000
```

Values from the calculation:
Relative energy among the computed polymorphs = 413 meV per atom
Energy = -10.27 eV/atom
Formation enthalpy at 0 K = 1.1787 eV per atom
Space group = No. 216

Entry 6:
DFT (PBE) results for Cs2GdTmTe4 after structural relaxation. Values from VASP.

```
&SYSTEM
  ibrav = 0, nat = 8, ntyp = 4
/
ATOMIC_SPECIES
Cs 132.91 Cs.upf
Te 127.60 Te.upf
Gd 157.25 Gd.upf
Tm 168.93 Tm.upf
ATOMIC_POSITIONS crystal
Cs 0.667 0.333 0.252
Cs 0.333 0.667 0.748
Te 0.667 0.333 0.903
Te 0.333 0.667 0.407
Te 0.333 0.667 0.097
Te 0.667 0.333 0.593
Gd 0.000 0.000 0.000
Tm 0.000 0.000 0.500
CELL_PARAMETERS angstrom
-0.463 -3.616 -2.710
3.494 2.843 -0.584
9.787 -9.710 11.287
```

Values from the calculation:
Energy = -4.30 eV/atom
Space group = No. 164